[1]
{
  "formula": "ZrTe5",
  "functional": "PBE",
  "state": "optimized geometry",
  "cell": [[-7.948, -1.697, 0.070], [7.724, -2.009, 1.538], [-1.072, 5.544, 12.628]],
  "species": ["Te", "Te", "Te", "Te", "Te", "Te", "Te", "Te", "Te", "Te", "Zr", "Zr"],
  "fractional_positions": [[0.080, 0.920, 0.350], [0.787, 0.213, 0.066], [0.787, 0.213, 0.434], [0.213, 0.787, 0.566], [0.920, 0.080, 0.650], [0.080, 0.920, 0.150], [0.671, 0.329, 0.750], [0.213, 0.787, 0.934], [0.920, 0.080, 0.850], [0.329, 0.671, 0.250], [0.687, 0.313, 0.250], [0.313, 0.687, 0.750]],
  "formation_energy_uncorrected_ev_per_fu": -3.025,
  "space_group": "Cmcm (63)",
  "e_above_lowest_polymorph_ev_per_atom": 0.000,
  "crystal_system": "orthorhombic"
}

[2]
{
  "formula": "ZrTe5",
  "functional": "PBE",
  "state": "optimized geometry",
  "cell": [[3.491, -3.240, 3.577], [4.528, -3.867, -0.138], [6.392, 5.534, 0.849]],
  "species": ["Te", "Te", "Te", "Te", "Te", "Zr"],
  "fractional_positions": [[0.699, 0.699, 0.740], [0.365, 0.365, 0.293], [0.949, 0.949, 0.952], [0.944, 0.944, 0.609], [0.633, 0.633, 0.242], [0.243, 0.243, 0.997]],
  "formation_energy_uncorrected_ev_per_fu": -2.060,
  "space_group": "Cm (8)",
  "e_above_lowest_polymorph_ev_per_atom": 0.161,
  "crystal_system": "monoclinic"
}

[3]
{
  "formula": "Zr2Te",
  "functional": "PBE",
  "state": "optimized geometry",
  "cell": [[-3.103, -3.348, 0.403], [0.587, 0.003, 4.545], [-2.694, 2.539, 0.346]],
  "species": ["Zr", "Zr", "Te"],
  "fractional_positions": [[0.500, 0.000, 0.500], [0.000, 0.500, 0.500], [0.000, 0.000, 0.000]],
  "formation_energy_uncorrected_ev_per_fu": -0.323,
  "space_group": "P4/mmm (123)",
  "crystal_system": "tetragonal"
}

[4]
{
  "formula": "ZrTe3",
  "functional": "PBE",
  "state": "optimized geometry",
  "cell": [[-3.910, 3.721, 5.006], [-6.437, 2.267, 2.760], [-0.843, -3.803, 3.412]],
  "species": ["Te", "Te", "Te", "Zr"],
  "fractional_positions": [[0.341, 0.341, 0.184], [0.659, 0.659, 0.816], [0.500, 0.500, 0.500], [0.000, 0.000, 0.000]],
  "formation_energy_uncorrected_ev_per_fu": -1.738,
  "space_group": "C2/m (12)",
  "crystal_system": "monoclinic"
}

Raw total energy for every record listed, in sequence, given in eV/cell: -54.56, -26.32, -20.56, -19.71.